1.
Material: K3Rb4Hg
Method: DFT, PBE
State: optimized geometry

Unit cell a=16.9001 b=16.9001 c=8.2347 alpha=90.00 beta=90.00 gamma=90.00
Space group I4/mcm (No. 140)
Unique sites:
K1 0.0000 0.0000 0.2500 x4
K2 0.1228 0.3772 0.0000 x8
Rb1 0.0937 0.2227 0.5000 x16
Hg1 0.0000 0.5000 0.2500 x4

## Properties
- Volume: 73.5 Å³ per atom
- ΔH_f (0 K): -0.0028 eV/atom
- M_tot: 0.0 Bohr magnetons per cell
- Total DFT energy (no corrections): -0.94 eV per atom
- Relative energy among the computed polymorphs: 16 meV per atom

=====

2.
Material: K7Rb2Hg
Method: DFT, PBE
State: optimized geometry

Unit cell a=20.4755 b=11.8261 c=14.0457 alpha=90.00 beta=126.78 gamma=90.00
Space group C2/c (No. 15)
Unique sites:
K1 0.0000 0.1407 0.2500 x4
K2 0.0792 0.3622 0.0937 x8
K3 0.1274 0.2718 0.8076 x8
K4 0.1905 0.3880 0.5152 x8
Rb1 0.1508 0.0006 0.1041 x8
Hg1 0.0000 0.4811 0.2500 x4

## Properties
- Volume: 68.1 Å³ per atom
- ΔH_f (0 K): -0.0358 eV/atom
- M_tot: 0.0 Bohr magnetons per cell
- Total DFT energy (no corrections): -1.03 eV per atom
- Relative energy among the computed polymorphs: 0 meV per atom

=====

3.
Material: K3Rb5Hg3
Method: DFT, PBE
State: optimized geometry

Unit cell a=11.4022 b=11.4022 c=6.8437 alpha=90.00 beta=90.00 gamma=120.00
Space group P-62m (No. 189)
Unique sites:
K1 0.0000 0.5846 0.0000 x3
Rb1 0.0000 0.2456 0.5000 x3
Rb2 0.3333 0.6667 0.5000 x2
Hg1 0.0000 0.6270 0.5000 x3

## Properties
- Volume: 70.0 Å³ per atom
- ΔH_f (0 K): -0.0710 eV/atom
- M_tot: 0.0 Bohr magnetons per cell
- Total DFT energy (no corrections): -0.89 eV per atom

=====

4.
Material: K3Rb2Hg
Method: DFT, PBE
State: optimized geometry

Unit cell a=6.5308 b=19.8751 c=11.6012 alpha=90.00 beta=90.00 gamma=90.00
Space group Cmmm (No. 65)
Unique sites:
K1 0.0000 0.0000 0.2171 x4
K2 0.0000 0.3147 0.1796 x8
Rb1 0.0000 0.1667 0.5000 x4
Rb2 0.0000 0.5000 0.0000 x2
Rb3 0.0000 0.5000 0.5000 x2
Hg1 0.0000 0.1433 0.0000 x4

## Properties
- Volume: 62.7 Å³ per atom
- ΔH_f (0 K): -0.0550 eV/atom
- M_tot: 0.0 Bohr magnetons per cell
- Total DFT energy (no corrections): -0.98 eV per atom
- Relative energy among the computed polymorphs: 0 meV per atom

=====

5.
Material: KRb11Hg5
Method: DFT, PBE
State: optimized geometry

Unit cell a=14.1574 b=17.2180 c=8.6091 alpha=90.00 beta=100.99 gamma=90.00
Space group C2/m (No. 12)
Unique sites:
K1 0.0000 0.0000 0.0000 x2
Rb1 0.0000 0.0000 0.5000 x2
Rb2 0.1024 0.2380 0.3183 x8
Rb3 0.1713 0.3674 0.8766 x8
Rb4 0.1756 0.5000 0.3801 x4
Hg1 0.0000 0.5000 0.0000 x2
Hg2 0.1495 0.1542 0.7490 x8

## Properties
- Volume: 60.6 Å³ per atom
- ΔH_f (0 K): -0.1190 eV/atom
- M_tot: 0.0 Bohr magnetons per cell
- Total DFT energy (no corrections): -0.90 eV per atom

=====

6.
Material: K4Rb5Hg
Method: DFT, PBE
State: optimized geometry

Unit cell a=14.6168 b=14.6168 c=7.1218 alpha=90.00 beta=90.00 gamma=90.00
Space group I4/m (No. 87)
Unique sites:
K1 0.9997 0.3398 0.0000 x8
Rb1 0.0000 0.0000 0.0000 x2
Rb2 0.1745 0.1737 0.5000 x8
Hg1 0.0000 0.0000 0.5000 x2

## Properties
- Volume: 76.1 Å³ per atom
- ΔH_f (0 K): -0.0297 eV/atom
- M_tot: 0.0 Bohr magnetons per cell
- Total DFT energy (no corrections): -0.98 eV per atom
- Relative energy among the computed polymorphs: 0 meV per atom

=====

7.
Material: K8Rb2Hg3
Method: DFT, PBE
State: optimized geometry

Unit cell a=11.9510 b=5.9034 c=13.1593 alpha=90.00 beta=116.63 gamma=90.00
Space group P2/m (No. 10)
Unique sites:
K1 0.0872 0.0000 0.1760 x2
K2 0.1600 0.5000 0.8192 x2
K3 0.3410 0.5000 0.1825 x2
K4 0.4087 0.0000 0.8164 x2
Rb1 0.2495 0.5000 0.5018 x2
Hg1 0.2565 0.0000 0.0005 x2
Hg2 0.5000 0.5000 0.0000 x1

## Properties
- Volume: 63.8 Å³ per atom
- ΔH_f (0 K): -0.0614 eV/atom
- M_tot: 0.0 Bohr magnetons per cell
- Total DFT energy (no corrections): -0.96 eV per atom

=====

8.
Material: K6Rb8Hg
Method: DFT, PBE
State: optimized geometry

Unit cell a=11.9753 b=11.9753 c=27.7707 alpha=90.00 beta=90.00 gamma=120.00
Space group R-3 (No. 148, hexagonal axes)
Unique sites:
K1 0.0289 0.2567 0.2046 x18
Rb1 0.0000 0.0000 0.0797 x6
Rb2 0.0521 0.8062 0.6257 x18
Hg1 0.0000 0.0000 0.5000 x3

## Properties
- Volume: 76.6 Å³ per atom
- ΔH_f (0 K): 0.0022 eV/atom
- M_tot: 0.0 Bohr magnetons per cell
- Total DFT energy (no corrections): -0.97 eV per atom